Compound: LiMnSi2
Source: Alexandria via LeMat-Bulk
Functional: PBE
Structure: relaxed

The structure in POSCAR format:
```
LiMnSi2
1.0
0.000 2.970 2.970
2.970 0.000 2.970
2.970 2.970 0.000
Li Mn Si
1 1 2
direct
0.000 0.000 0.000
0.750 0.750 0.750
0.250 0.250 0.250
0.500 0.500 0.500
```

Values from the calculation:
E_form (uncorrected)	0.191	eV/atom
N(E_F)	3.35	states/eV per cell
final energy	-5.291	eV/atom
total magnetization	2.819	μB per formula unit
crystal system	cubic